# 1
Crystalline Na5Tc2N6 at its relaxed geometry. Source: the Alexandria database, functional GGA-PBE.

The structure belongs to space group C2/c (No. 15); the cell edges are 10.363, 6.059 and 13.804 Å and the angles 90.00°, 95.85° and 90.00°. The asymmetric unit holds Na at (0.000, 0.091, 0.250), Na at (0.084, 0.249, 0.010), Na at (0.146, 0.455, 0.711), Tc at (0.217, 0.355, 0.415), N at (0.056, 0.421, 0.370), N at (0.169, 0.059, 0.664) and N at (0.238, 0.043, 0.451).

The value obtained for the density is 3.04 g cm⁻³. Its total energy is -317.741 eV for the cell shown. The calculation puts the raw formation energy at -208 kJ/mol of formula units.

***

# 2
Crystalline GaNi5Ge at its relaxed geometry. Source: the Alexandria database, functional GGA-PBE.

The structure belongs to space group P4/mmm (No. 123); the cell edges are 3.663, 3.663 and 6.501 Å and the angles 90.00°, 90.00° and 90.00°. The asymmetric unit holds Ga at (0.000, 0.000, 0.000), Ni at (0.000, 0.000, 0.500), Ni at (0.000, 0.500, 0.241) and Ge at (0.500, 0.500, 0.500).

The value obtained for the density is 8.30 g cm⁻³. Its total energy is -37.806 eV for the cell shown. The value obtained for the calculated formation energy is -0.18 eV per atom.

***

# 3
Crystalline Li8Hg2Au at its relaxed geometry. Source: the Alexandria database, functional GGA-PBE.

The structure belongs to space group Immm (No. 71); the cell edges are 4.655, 6.159 and 13.688 Å and the angles 90.00°, 90.00° and 90.00°. The asymmetric unit holds Li at (0.000, 0.000, 0.171), Li at (0.000, 0.229, 0.357), Li at (0.000, 0.263, 0.000), Hg at (0.000, 0.500, 0.188) and Au at (0.000, 0.500, 0.500).

The value obtained for the density is 5.53 g cm⁻³. Its total energy is -45.183 eV for the cell shown. The value obtained for the calculated formation energy is -0.31 eV per atom.

***

# 4
Crystalline LaAl2SiSb at its relaxed geometry. Source: the Alexandria database, functional GGA-PBE.

The structure belongs to space group P4/mmm (No. 123); the cell edges are 4.801, 4.801 and 5.828 Å and the angles 90.00°, 90.00° and 90.00°. The asymmetric unit holds La at (0.000, 0.000, 0.000), Al at (0.000, 0.500, 0.500), Si at (0.000, 0.000, 0.500) and Sb at (0.500, 0.500, 0.000).

The value obtained for the density is 4.24 g cm⁻³. Its total energy is -22.219 eV for the cell shown. The calculation puts the raw formation energy at -25 kJ/mol of formula units.

***

# 5
Crystalline Be2AlW at its relaxed geometry. Source: the Alexandria database, functional GGA-PBE.

The structure belongs to space group Pmmm (No. 47); the cell edges are 2.724, 3.353 and 5.340 Å and the angles 90.00°, 90.00° and 90.00°. The asymmetric unit holds Be at (0.000, 0.000, 0.245), Al at (0.500, 0.500, 0.500) and W at (0.500, 0.500, 0.000).

The value obtained for the density is 7.79 g cm⁻³. Its total energy is -23.563 eV for the cell shown. The value obtained for the calculated formation energy is 0.15 eV per atom.

***

# 6
Crystalline Pm2NdScTl2 at its relaxed geometry. Source: the Alexandria database, functional GGA-PBE.

The structure belongs to space group Pmc2_1 (No. 26); the cell edges are 5.044, 9.988 and 7.067 Å and the angles 90.00°, 90.00° and 90.00°. The asymmetric unit holds Pm at (0.000, 0.051, 0.000), Pm at (0.500, 0.184, 0.288), Nd at (0.500, 0.452, 0.903), Sc at (0.000, 0.307, 0.609), Tl at (0.000, 0.382, 0.180) and Tl at (0.500, 0.145, 0.736).

The value obtained for the density is 8.28 g cm⁻³. Its total energy is -53.753 eV for the cell shown. The value obtained for the calculated formation energy is -0.26 eV per atom.

***

# 7
Crystalline CaScTl at its relaxed geometry. Source: the Alexandria database, functional GGA-PBE.

The structure belongs to space group P1 (No. 1); the cell edges are 3.475, 6.297 and 8.326 Å and the angles 82.61°, 78.01° and 74.09°. The asymmetric unit holds Ca at (0.000, 0.000, 0.000), Ca at (0.365, 0.513, 0.748), Sc at (0.155, 0.310, 0.377), Sc at (0.426, 0.772, 0.379), Tl at (0.682, 0.005, 0.632) and Tl at (0.694, 0.516, 0.089).

The value obtained for the density is 5.62 g cm⁻³. Its total energy is -22.396 eV for the cell shown. The value obtained for the calculated formation energy is -0.17 eV per atom.

***

# 8
Crystalline NaMo2P at its relaxed geometry. Source: the Alexandria database, functional GGA-PBE.

The structure belongs to space group I-42d (No. 122); the cell edges are 4.658, 4.658 and 17.393 Å and the angles 90.00°, 90.00° and 90.00°. The asymmetric unit holds Na at (0.000, 0.000, 0.000), Mo at (0.033, 0.750, 0.625) and P at (0.000, 0.000, 0.500).

The value obtained for the density is 4.33 g cm⁻³. Its total energy is -99.841 eV for the cell shown. The value obtained for the calculated formation energy is 0.86 eV per atom.